VASP calculation (meta-GGA SCAN) on KCdCo2 at its PBEsol-relaxed geometry.

```
4
Lattice="2.987 0.000 0.000 0.000 2.987 0.000 0.000 0.000 8.298" Properties=species:S:1:pos:R:3 pbc="T T T"
K 0.000 0.000 0.000
Cd 1.494 1.494 2.970
Co 0.000 0.000 4.806
Co 1.494 1.494 5.765
```

***

VASP calculation (meta-GGA SCAN) on LaCdCo2 at its PBEsol-relaxed geometry.

```
4
Lattice="3.367 0.000 0.000 0.000 3.367 0.000 0.000 0.000 6.337" Properties=species:S:1:pos:R:3 pbc="T T T"
La 0.000 0.000 0.000
Cd 0.000 0.000 3.168
Co 1.684 1.684 1.956
Co 1.684 1.684 4.381
```

***

VASP calculation (meta-GGA SCAN) on La3CdCo at its PBEsol-relaxed geometry.

```
5
Lattice="5.238 0.000 0.000 0.000 5.238 0.000 0.000 0.000 5.238" Properties=species:S:1:pos:R:3 pbc="T T T"
La 0.000 0.000 2.619
La 0.000 2.619 0.000
La 2.619 0.000 0.000
Cd 2.619 2.619 2.619
Co 0.000 0.000 0.000
```

***

VASP calculation (meta-GGA SCAN) on LaCdCo2 at its PBEsol-relaxed geometry.

```
4
Lattice="0.000 3.349 3.349 3.349 0.000 3.349 3.349 3.349 0.000" Properties=species:S:1:pos:R:3 pbc="T T T"
La 0.000 0.000 0.000
Cd 5.024 5.024 5.024
Co 1.675 1.675 1.675
Co 3.349 3.349 3.349
```

***

VASP calculation (meta-GGA SCAN) on LiCd2Co at its PBEsol-relaxed geometry.

```
8
Lattice="-1.984 1.984 9.130 1.984 -1.984 9.130 1.984 1.984 -9.130" Properties=species:S:1:pos:R:3 pbc="T T T"
Li 0.000 0.000 0.000
Li 0.000 1.984 4.565
Cd 0.992 -0.964 6.848
Cd 1.019 0.992 2.283
Cd 0.992 2.948 -2.283
Cd 0.964 0.992 11.413
Co 1.984 0.000 4.565
Co 0.000 0.000 9.130
```

***

VASP calculation (meta-GGA SCAN) on Li3CdCo at its PBEsol-relaxed geometry.

```
5
Lattice="4.498 0.000 0.000 0.000 4.498 0.000 0.000 0.000 4.498" Properties=species:S:1:pos:R:3 pbc="T T T"
Li 0.000 0.000 2.249
Li 0.000 2.249 0.000
Li 2.249 0.000 0.000
Cd 2.249 2.249 2.249
Co 0.000 0.000 0.000
```

***

VASP calculation (meta-GGA SCAN) on LiCd2Co at its PBEsol-relaxed geometry.

```
4
Lattice="3.048 0.000 0.000 0.000 3.048 0.000 0.000 0.000 6.657" Properties=species:S:1:pos:R:3 pbc="T T T"
Li 0.000 0.000 0.000
Cd 1.524 1.524 1.769
Cd 1.524 1.524 4.888
Co 0.000 0.000 3.328
```

***

VASP calculation (meta-GGA SCAN) on LiCdCo2 at its PBEsol-relaxed geometry.

```
4
Lattice="-1.748 1.748 4.183 1.748 -1.748 4.183 1.748 1.748 -4.183" Properties=species:S:1:pos:R:3 pbc="T T T"
Li 0.000 0.000 0.000
Cd 0.000 0.000 4.183
Co 1.748 0.000 2.091
Co 0.000 1.748 2.091
```

***

VASP calculation (meta-GGA SCAN) on LiCdCo2 at its PBEsol-relaxed geometry.

```
4
Lattice="1.323 0.764 8.950 -1.323 0.764 8.950 0.000 -1.528 8.950" Properties=species:S:1:pos:R:3 pbc="T T T"
Li 0.000 0.000 0.000
Cd 0.000 0.000 13.425
Co 0.000 0.000 6.801
Co 0.000 0.000 20.049
```

***

VASP calculation (meta-GGA SCAN) on LiCd2Co at its PBEsol-relaxed geometry.

```
4
Lattice="3.129 0.000 0.000 0.000 3.129 0.000 0.000 0.000 6.371" Properties=species:S:1:pos:R:3 pbc="T T T"
Li 0.000 0.000 0.000
Cd 0.000 0.000 3.626
Cd 1.564 1.564 1.561
Co 1.564 1.564 5.127
```

***

VASP calculation (meta-GGA SCAN) on LiCd2Co at its PBEsol-relaxed geometry.

```
4
Lattice="0.000 3.156 3.156 3.156 0.000 3.156 3.156 3.156 0.000" Properties=species:S:1:pos:R:3 pbc="T T T"
Li 0.000 0.000 0.000
Cd 1.578 1.578 1.578
Cd 3.156 3.156 3.156
Co 4.734 4.734 4.734
```

***

VASP calculation (meta-GGA SCAN) on LiCdCo2 at its PBEsol-relaxed geometry.

```
4
Lattice="3.049 0.000 0.000 0.000 3.049 0.000 0.000 0.000 5.534" Properties=species:S:1:pos:R:3 pbc="T T T"
Li 0.000 0.000 0.000
Cd 0.000 0.000 2.767
Co 1.524 1.524 1.115
Co 1.524 1.524 4.418
```

***

VASP calculation (meta-GGA SCAN) on MgCdCo at its PBEsol-relaxed geometry.

```
3
Lattice="4.445 0.000 0.000 -2.223 3.850 0.000 0.000 0.000 2.765" Properties=species:S:1:pos:R:3 pbc="T T T"
Mg 0.000 0.000 0.000
Cd 0.000 2.567 1.057
Co 2.223 1.283 1.960
```

***

VASP calculation (meta-GGA SCAN) on MgCdCo3 at its PBEsol-relaxed geometry.

```
5
Lattice="4.305 0.000 0.000 0.000 4.305 0.000 0.000 0.000 4.305" Properties=species:S:1:pos:R:3 pbc="T T T"
Mg 0.000 0.000 0.000
Cd 2.152 2.152 2.152
Co 0.000 0.000 2.152
Co 0.000 2.152 0.000
Co 2.152 0.000 0.000
```

***

VASP calculation (meta-GGA SCAN) on MgCdCo2 at its PBEsol-relaxed geometry.

```
4
Lattice="1.384 0.799 8.716 -1.384 0.799 8.716 0.000 -1.598 8.716" Properties=species:S:1:pos:R:3 pbc="T T T"
Mg 0.000 0.000 0.000
Cd 0.000 0.000 13.074
Co 0.000 0.000 6.583
Co 0.000 0.000 19.564
```

***

no.,formation energy (meV per atom),density of states at the Fermi level (states/eV per cell)
1,450,2.83
2,256,2.19
3,-175,5.67
4,346,2.94
5,354,3.45
6,536,4.09
7,143,2.05
8,190,1.75
9,384,2.02
10,82,1.29
11,62,1.46
12,409,2.75
13,122,1.03
14,1327,1.39
15,306,2.88